# 1
A plane-wave DFT calculation with PBE-GGA was carried out for a relaxed KSiCl2 crystal.

Summary:
**V**: 104.4 Å³/f.u.
**Raw formation energy**: -0.515 eV per atom
**Magnetization**: 0.33 Bohr magnetons per cell
**Space-group type**: R-3m (166)
**Energy above the most stable polymorph in this dataset**: 328.1 meV per atom

Unit cell a=8.815 b=8.815 c=8.815 alpha=24.60 beta=24.60 gamma=24.60
Positions (direct):
K1 0.000 0.000 0.000
Si1 0.500 0.500 0.500
Cl1 0.250 0.250 0.250
Cl2 0.750 0.750 0.750

***

# 2
A plane-wave DFT calculation with PBE-GGA was carried out for a relaxed KSiCl crystal.

Summary:
**V**: 110.6 Å³/f.u.
**Raw formation energy**: 0.300 eV per atom
**Magnetization**: 2.00 Bohr magnetons per cell
**Space-group type**: F-43m (216)
**Energy above the most stable polymorph in this dataset**: 1279.2 meV per atom

Unit cell a=5.387 b=5.387 c=5.387 alpha=60.00 beta=60.00 gamma=60.00
Positions (direct):
K1 0.000 0.000 0.000
Si1 0.250 0.250 0.250
Cl1 0.750 0.750 0.750

***

# 3
A plane-wave DFT calculation with PBE-GGA was carried out for a relaxed KSiCl2 crystal.

Summary:
**V**: 111.7 Å³/f.u.
**Raw formation energy**: -0.696 eV per atom
**Magnetization**: 1.00 Bohr magnetons per cell
**Space-group type**: Immm (71)
**Energy above the most stable polymorph in this dataset**: 147.0 meV per atom

Unit cell a=5.758 b=5.758 c=5.758 alpha=139.43 beta=111.64 gamma=82.62
Positions (direct):
K1 0.000 0.000 0.000
Si1 0.500 0.500 0.000
Cl1 0.297 0.797 0.500
Cl2 0.703 0.203 0.500

***

# 4
A plane-wave DFT calculation with PBE-GGA was carried out for a relaxed KSiCl2 crystal.

Summary:
**V**: 109.1 Å³/f.u.
**Raw formation energy**: -0.670 eV per atom
**Magnetization**: 0.00 Bohr magnetons per cell
**Space-group type**: Pmm2 (25)
**Energy above the most stable polymorph in this dataset**: 173.0 meV per atom

Unit cell a=3.447 b=5.325 c=5.945 alpha=90.00 beta=90.00 gamma=90.00
Positions (direct):
K1 0.000 0.000 0.000
Si1 0.500 0.500 0.501
Cl1 0.000 0.000 0.500
Cl2 0.500 0.500 0.881

***

# 5
A plane-wave DFT calculation with PBE-GGA was carried out for a relaxed KSiCl2 crystal.

Summary:
**V**: 116.7 Å³/f.u.
**Raw formation energy**: -0.516 eV per atom
**Magnetization**: 0.97 Bohr magnetons per cell
**Space-group type**: Pmmm (47)
**Energy above the most stable polymorph in this dataset**: 327.7 meV per atom

Unit cell a=3.857 b=4.331 c=6.989 alpha=90.00 beta=90.00 gamma=90.00
Positions (direct):
K1 0.000 0.000 0.000
Si1 0.000 0.500 0.500
Cl1 0.500 0.000 0.500
Cl2 0.500 0.500 0.000

***

# 6
A plane-wave DFT calculation with PBE-GGA was carried out for a relaxed KSiCl crystal.

Summary:
**V**: 84.5 Å³/f.u.
**Raw formation energy**: -0.715 eV per atom
**Magnetization**: 0.00 Bohr magnetons per cell
**Space-group type**: C2/m (12)
**Energy above the most stable polymorph in this dataset**: 263.9 meV per atom

Unit cell a=6.388 b=6.388 c=7.301 alpha=104.11 beta=104.11 gamma=35.94
Positions (direct):
K1 0.068 0.068 0.274
K2 0.932 0.932 0.726
Si1 0.311 0.311 0.008
Si2 0.689 0.689 0.992
Cl1 0.359 0.359 0.342
Cl2 0.641 0.641 0.658

***

# 7
A plane-wave DFT calculation with PBE-GGA was carried out for a relaxed KSiCl2 crystal.

Summary:
**V**: 104.7 Å³/f.u.
**Raw formation energy**: -0.048 eV per atom
**Magnetization**: 1.01 Bohr magnetons per cell
**Space-group type**: F-43m (216)
**Energy above the most stable polymorph in this dataset**: 795.5 meV per atom

Unit cell a=5.291 b=5.291 c=5.291 alpha=60.00 beta=60.00 gamma=60.00
Positions (direct):
K1 0.000 0.000 0.000
Si1 0.250 0.250 0.250
Cl1 0.500 0.500 0.500
Cl2 0.750 0.750 0.750

***

# 8
A plane-wave DFT calculation with PBE-GGA was carried out for a relaxed KSiCl crystal.

Summary:
**V**: 73.2 Å³/f.u.
**Raw formation energy**: -0.835 eV per atom
**Magnetization**: 0.00 Bohr magnetons per cell
**Space-group type**: Cm (8)
**Energy above the most stable polymorph in this dataset**: 144.3 meV per atom

Unit cell a=11.702 b=11.702 c=3.580 alpha=98.64 beta=98.64 gamma=17.60
Positions (direct):
K1 0.000 0.000 0.000
K2 0.171 0.171 0.167
Si1 0.378 0.378 0.369
Si2 0.852 0.852 0.842
Cl1 0.583 0.583 0.582
Cl2 0.749 0.749 0.743

***

# 9
A plane-wave DFT calculation with PBE-GGA was carried out for a relaxed KSiCl2 crystal.

Summary:
**V**: 114.7 Å³/f.u.
**Raw formation energy**: -0.652 eV per atom
**Magnetization**: 0.00 Bohr magnetons per cell
**Space-group type**: P4mm (99)
**Energy above the most stable polymorph in this dataset**: 191.0 meV per atom

Unit cell a=4.343 b=4.343 c=6.080 alpha=90.00 beta=90.00 gamma=90.00
Positions (direct):
K1 0.000 0.000 0.000
Si1 0.500 0.500 0.491
Cl1 0.000 0.000 0.495
Cl2 0.500 0.500 0.868

***

# 10
A plane-wave DFT calculation with PBE-GGA was carried out for a relaxed KSiCl2 crystal.

Summary:
**V**: 106.3 Å³/f.u.
**Raw formation energy**: -0.571 eV per atom
**Magnetization**: 0.00 Bohr magnetons per cell
**Space-group type**: Cmmm (65)
**Energy above the most stable polymorph in this dataset**: 272.7 meV per atom

Unit cell a=3.785 b=3.785 c=8.284 alpha=90.00 beta=90.00 gamma=116.34
Positions (direct):
K1 0.000 0.000 0.000
Si1 0.000 0.000 0.500
Cl1 0.500 0.500 0.263
Cl2 0.500 0.500 0.737

***

# 11
A plane-wave DFT calculation with PBE-GGA was carried out for a relaxed KSiCl2 crystal.

Summary:
**V**: 136.4 Å³/f.u.
**Raw formation energy**: -0.388 eV per atom
**Magnetization**: 0.00 Bohr magnetons per cell
**Space-group type**: R-3m (166)
**Energy above the most stable polymorph in this dataset**: 455.5 meV per atom

Unit cell a=8.860 b=8.860 c=8.860 alpha=28.11 beta=28.11 gamma=28.11
Positions (direct):
K1 0.000 0.000 0.000
Si1 0.500 0.500 0.500
Cl1 0.118 0.118 0.118
Cl2 0.882 0.882 0.882

***

# 12
A plane-wave DFT calculation with PBE-GGA was carried out for a relaxed KSiCl2 crystal.

Summary:
**V**: 99.6 Å³/f.u.
**Raw formation energy**: -0.434 eV per atom
**Magnetization**: 0.98 Bohr magnetons per cell
**Space-group type**: Fm-3m (225)
**Energy above the most stable polymorph in this dataset**: 408.9 meV per atom

Unit cell a=5.203 b=5.203 c=5.203 alpha=60.00 beta=60.00 gamma=60.00
Positions (direct):
K1 0.000 0.000 0.000
Si1 0.500 0.500 0.500
Cl1 0.250 0.250 0.250
Cl2 0.750 0.750 0.750

***

# 13
A plane-wave DFT calculation with PBE-GGA was carried out for a relaxed K2SiTeCl crystal.

Summary:
**V**: 169.7 Å³/f.u.
**Raw formation energy**: -0.396 eV per atom
**Magnetization**: 0.00 Bohr magnetons per cell
**Space-group type**: P4/mmm (123)

Unit cell a=5.786 b=5.786 c=5.068 alpha=90.00 beta=90.00 gamma=90.00
Positions (direct):
K1 0.000 0.500 0.000
K2 0.500 0.000 0.000
Si1 0.000 0.000 0.500
Te1 0.500 0.500 0.500
Cl1 0.000 0.000 0.000

***

# 14
A plane-wave DFT calculation with PBE-GGA was carried out for a relaxed KSiWCl2 crystal.

Summary:
**V**: 121.4 Å³/f.u.
**Raw formation energy**: -0.095 eV per atom
**Magnetization**: 0.00 Bohr magnetons per cell
**Space-group type**: P4/mmm (123)
**Energy above the most stable polymorph in this dataset**: 0.0 meV per atom

Unit cell a=5.003 b=5.003 c=4.849 alpha=90.00 beta=90.00 gamma=90.00
Positions (direct):
K1 0.000 0.000 0.000
Si1 0.500 0.500 0.000
W1 0.500 0.500 0.500
Cl1 0.000 0.500 0.500
Cl2 0.500 0.000 0.500

***

# 15
A plane-wave DFT calculation with PBE-GGA was carried out for a relaxed KSiWCl2 crystal.

Summary:
**V**: 167.6 Å³/f.u.
**Raw formation energy**: 1.534 eV per atom
**Magnetization**: 3.86 Bohr magnetons per cell
**Space-group type**: P4/mmm (123)
**Energy above the most stable polymorph in this dataset**: 1629.2 meV per atom

Unit cell a=5.344 b=5.344 c=5.867 alpha=90.00 beta=90.00 gamma=90.00
Positions (direct):
K1 0.000 0.000 0.000
Si1 0.000 0.000 0.500
W1 0.500 0.500 0.500
Cl1 0.000 0.500 0.000
Cl2 0.500 0.000 0.000

***

# 16
A plane-wave DFT calculation with PBE-GGA was carried out for a relaxed KZr2SiCl crystal.

Summary:
**V**: 129.1 Å³/f.u.
**Raw formation energy**: 0.558 eV per atom
**Magnetization**: 0.00 Bohr magnetons per cell
**Space-group type**: P4/mmm (123)

Unit cell a=4.862 b=4.862 c=5.462 alpha=90.00 beta=90.00 gamma=90.00
Positions (direct):
K1 0.000 0.000 0.000
Zr1 0.000 0.500 0.500
Zr2 0.500 0.000 0.500
Si1 0.500 0.500 0.000
Cl1 0.500 0.500 0.500

***

# 17
A plane-wave DFT calculation with PBE-GGA was carried out for a relaxed KSm2Cl7 crystal.

Summary:
**V**: 324.7 Å³/f.u.
**Raw formation energy**: -2.208 eV per atom
**Magnetization**: 0.00 Bohr magnetons per cell
**Space-group type**: Cmmm (65)
**Energy above the most stable polymorph in this dataset**: 42.3 meV per atom

Unit cell a=8.177 b=8.177 c=5.406 alpha=90.00 beta=90.00 gamma=116.07
Positions (direct):
K1 0.000 0.000 0.000
Sm1 0.303 0.697 0.500
Sm2 0.697 0.303 0.500
Cl1 0.050 0.326 0.500
Cl2 0.289 0.711 0.000
Cl3 0.326 0.050 0.500
Cl4 0.500 0.500 0.500
Cl5 0.674 0.950 0.500
Cl6 0.711 0.289 0.000
Cl7 0.950 0.674 0.500

***

# 18
A plane-wave DFT calculation with PBE-GGA was carried out for a relaxed KSmCl4 crystal.

Summary:
**V**: 210.6 Å³/f.u.
**Raw formation energy**: -2.178 eV per atom
**Magnetization**: 0.00 Bohr magnetons per cell
**Space-group type**: Cmc2_1 (36)
**Energy above the most stable polymorph in this dataset**: 0.0 meV per atom

Unit cell a=10.829 b=10.829 c=7.385 alpha=90.00 beta=90.00 gamma=150.91
Positions (direct):
K1 0.187 0.813 0.500
K2 0.813 0.187 0.000
Sm1 0.410 0.590 0.555
Sm2 0.590 0.410 0.055
Cl1 0.089 0.911 0.082
Cl2 0.306 0.694 0.765
Cl3 0.336 0.664 0.266
Cl4 0.475 0.525 0.884
Cl5 0.525 0.475 0.384
Cl6 0.664 0.336 0.766
Cl7 0.694 0.306 0.265
Cl8 0.911 0.089 0.582

***

# 19
A plane-wave DFT calculation with PBE-GGA was carried out for a relaxed KSm2Cl8 crystal.

Summary:
**V**: 311.9 Å³/f.u.
**Raw formation energy**: -2.001 eV per atom
**Magnetization**: 0.00 Bohr magnetons per cell
**Space-group type**: Cmmm (65)
**Energy above the most stable polymorph in this dataset**: 0.0 meV per atom

Unit cell a=8.101 b=8.101 c=5.294 alpha=90.00 beta=90.00 gamma=116.13
Positions (direct):
K1 0.000 0.000 0.000
Sm1 0.302 0.698 0.500
Sm2 0.698 0.302 0.500
Cl1 0.058 0.328 0.500
Cl2 0.257 0.743 0.000
Cl3 0.328 0.058 0.500
Cl4 0.500 0.500 0.247
Cl5 0.500 0.500 0.753
Cl6 0.672 0.942 0.500
Cl7 0.743 0.257 0.000
Cl8 0.942 0.672 0.500

***

# 20
A plane-wave DFT calculation with PBE-GGA was carried out for a relaxed KSm2Cl8 crystal.

Summary:
**V**: 381.9 Å³/f.u.
**Raw formation energy**: -1.938 eV per atom
**Magnetization**: 1.09 Bohr magnetons per cell
**Space-group type**: C2/m (12)
**Energy above the most stable polymorph in this dataset**: 62.8 meV per atom

Unit cell a=7.149 b=7.149 c=8.017 alpha=100.52 beta=100.52 gamma=73.15
Positions (direct):
K1 0.000 0.000 0.000
Sm1 0.323 0.323 0.540
Sm2 0.677 0.677 0.460
Cl1 0.041 0.653 0.675
Cl2 0.206 0.206 0.796
Cl3 0.347 0.959 0.325
Cl4 0.442 0.442 0.281
Cl5 0.558 0.558 0.719
Cl6 0.653 0.041 0.675
Cl7 0.794 0.794 0.204
Cl8 0.959 0.347 0.325

***

# 21
A plane-wave DFT calculation with PBE-GGA was carried out for a relaxed KSm2Cl5 crystal.

Summary:
**V**: 206.1 Å³/f.u.
**Raw formation energy**: -1.940 eV per atom
**Magnetization**: 0.00 Bohr magnetons per cell
**Space-group type**: P2_1/c (14)

Unit cell a=8.669 b=7.122 c=13.355 alpha=90.00 beta=90.35 gamma=90.00
Positions (direct):
K1 0.004 0.055 0.334
K2 0.004 0.445 0.834
K3 0.996 0.555 0.166
K4 0.996 0.945 0.666
Sm1 0.295 0.030 0.999
Sm2 0.295 0.470 0.499
Sm3 0.490 0.603 0.158
Sm4 0.490 0.897 0.658
Sm5 0.510 0.103 0.342
Sm6 0.510 0.397 0.842
Sm7 0.705 0.530 0.501
Sm8 0.705 0.970 0.001
Cl1 0.026 0.673 0.424
Cl2 0.026 0.827 0.924
Cl3 0.249 0.648 0.685
Cl4 0.249 0.852 0.185
Cl5 0.263 0.160 0.794
Cl6 0.263 0.340 0.294
Cl7 0.294 0.050 0.499
Cl8 0.294 0.450 0.999
Cl9 0.475 0.693 0.366
Cl10 0.475 0.807 0.866
Cl11 0.525 0.193 0.134
Cl12 0.525 0.307 0.634
Cl13 0.706 0.550 0.001
Cl14 0.706 0.950 0.501
Cl15 0.737 0.660 0.706
Cl16 0.737 0.840 0.206
Cl17 0.751 0.148 0.815
Cl18 0.751 0.352 0.315
Cl19 0.974 0.173 0.076
Cl20 0.974 0.327 0.576

***

# 22
A plane-wave DFT calculation with PBE-GGA was carried out for a relaxed KSm2Cl7 crystal.

Summary:
**V**: 311.2 Å³/f.u.
**Raw formation energy**: -2.250 eV per atom
**Magnetization**: 0.00 Bohr magnetons per cell
**Space-group type**: P2_1/c (14)
**Energy above the most stable polymorph in this dataset**: 0.0 meV per atom

Unit cell a=7.123 b=12.820 c=13.657 alpha=90.00 beta=93.51 gamma=90.00
Positions (direct):
K1 0.191 0.223 0.479
K2 0.191 0.277 0.979
K3 0.809 0.723 0.021
K4 0.809 0.777 0.521
Sm1 0.213 0.536 0.261
Sm2 0.213 0.964 0.761
Sm3 0.289 0.659 0.757
Sm4 0.289 0.841 0.257
Sm5 0.711 0.159 0.743
Sm6 0.711 0.341 0.243
Sm7 0.787 0.036 0.239
Sm8 0.787 0.464 0.739
Cl1 0.009 0.709 0.321
Cl2 0.009 0.791 0.821
Cl3 0.032 0.567 0.623
Cl4 0.032 0.933 0.123
Cl5 0.087 0.521 0.868
Cl6 0.087 0.979 0.368
Cl7 0.242 0.687 0.113
Cl8 0.242 0.813 0.613
Cl9 0.428 0.063 0.626
Cl10 0.428 0.437 0.126
Cl11 0.446 0.100 0.871
Cl12 0.446 0.400 0.371
Cl13 0.486 0.672 0.336
Cl14 0.486 0.828 0.836
Cl15 0.514 0.172 0.164
Cl16 0.514 0.328 0.664
Cl17 0.554 0.600 0.629
Cl18 0.554 0.900 0.129
Cl19 0.572 0.563 0.874
Cl20 0.572 0.937 0.374
Cl21 0.758 0.187 0.387
Cl22 0.758 0.313 0.887
Cl23 0.913 0.021 0.632
Cl24 0.913 0.479 0.132
Cl25 0.968 0.067 0.877
Cl26 0.968 0.433 0.377
Cl27 0.991 0.209 0.179
Cl28 0.991 0.291 0.679

***

# 23
A plane-wave DFT calculation with PBE-GGA was carried out for a relaxed KSmCl4 crystal.

Summary:
**V**: 211.5 Å³/f.u.
**Raw formation energy**: -2.161 eV per atom
**Magnetization**: 0.00 Bohr magnetons per cell
**Space-group type**: P-1 (2)
**Energy above the most stable polymorph in this dataset**: 16.8 meV per atom

Unit cell a=6.842 b=7.608 c=8.858 alpha=97.05 beta=112.25 gamma=90.02
Positions (direct):
K1 0.223 0.247 0.495
K2 0.777 0.753 0.505
Sm1 0.000 0.500 0.000
Sm2 0.500 0.000 0.000
Cl1 0.038 0.572 0.311
Cl2 0.218 0.201 0.095
Cl3 0.235 0.928 0.688
Cl4 0.374 0.702 0.095
Cl5 0.626 0.298 0.905
Cl6 0.765 0.072 0.312
Cl7 0.782 0.799 0.905
Cl8 0.962 0.428 0.689